The following is a DFT calculation (GGA-PBE) of crystalline ZnW3 at its relaxed geometry.

a = 4.993 Å, b = 4.993 Å, c = 4.993 Å
α = 90.00°, β = 90.00°, γ = 90.00°
Space group Pm-3n (No. 223)
One atom of each set of equivalent atoms:
Zn1 0.000 0.000 0.000
W1 0.000 0.250 0.500

Properties
- total DFT energy (no corrections) (eV per atom) = -9.84
- excess energy over the best structure of this formula in the dataset (kJ/mol of atoms) = 4.2
- size of the total moment (μB per formula unit) = 0.00



The following is a DFT calculation (GGA-PBE) of crystalline Ho2SbRu at its relaxed geometry.

a = 3.5995 Å, b = 3.5995 Å, c = 26.1953 Å
α = 90.00°, β = 90.00°, γ = 120.00°
Space group R-3m (No. 166, hexagonal axes)
One atom of each set of equivalent atoms:
Ho1 0.0000 0.0000 0.2379
Sb1 0.0000 0.0000 0.0000
Ru1 0.0000 0.0000 0.5000

Properties
- total DFT energy (no corrections) (eV per atom) = -6.01
- uncorrected formation energy (eV/atom) = -0.38
- excess energy over the best structure of this formula in the dataset (kJ/mol of atoms) = 22.6
- size of the total moment (μB per formula unit) = 0.00



The following is a DFT calculation (GGA-PBE) of crystalline TbEr3N4 at its relaxed geometry.

a = 5.968 Å, b = 6.894 Å, c = 5.968 Å
α = 90.00°, β = 109.46°, γ = 90.00°
Space group P2/c (No. 13)
One atom of each set of equivalent atoms:
Tb1 0.000 0.126 0.250
Er1 0.000 0.376 0.750
Er2 0.500 0.126 0.750
Er3 0.500 0.376 0.250
N1 0.251 0.377 0.502
N2 0.253 0.127 0.999

Properties
- total DFT energy (no corrections) (eV per atom) = -8.20
- uncorrected formation energy (eV/atom) = -1.75
- size of the total moment (μB per formula unit) = 0.00



The following is a DFT calculation (GGA-PBE) of crystalline NdPuH4 at its relaxed geometry.

a = 3.814 Å, b = 3.814 Å, c = 5.373 Å
α = 90.00°, β = 90.00°, γ = 90.00°
Space group P4/mmm (No. 123)
One atom of each set of equivalent atoms:
Nd1 0.000 0.000 0.000
Pu1 0.500 0.500 0.500
H1 0.000 0.500 0.258

Properties
- total DFT energy (no corrections) (eV per atom) = -5.91
- size of the total moment (μB per formula unit) = 5.49



The following is a DFT calculation (GGA-PBE) of crystalline TaNb6Ru2 at its relaxed geometry.

a = 7.138 Å, b = 14.022 Å, c = 3.186 Å
α = 90.00°, β = 100.19°, γ = 90.00°
Space group C2/m (No. 12)
One atom of each set of equivalent atoms:
Ta1 0.000 0.000 0.000
Nb1 0.164 0.500 0.333
Nb2 0.176 0.335 0.822
Ru1 0.000 0.159 0.500

Properties
- total DFT energy (no corrections) (eV per atom) = -10.16
- excess energy over the best structure of this formula in the dataset (kJ/mol of atoms) = 0.0
- size of the total moment (μB per formula unit) = 0.00



The following is a DFT calculation (GGA-PBE) of crystalline SrMgGa2Pt at its relaxed geometry.

a = 4.913 Å, b = 4.913 Å, c = 5.021 Å
α = 90.00°, β = 90.00°, γ = 90.00°
Space group P4/mmm (No. 123)
One atom of each set of equivalent atoms:
Sr1 0.000 0.000 0.000
Mg1 0.500 0.500 0.000
Ga1 0.000 0.500 0.500
Pt1 0.500 0.500 0.500

Properties
- total DFT energy (no corrections) (eV per atom) = -3.52
- excess energy over the best structure of this formula in the dataset (kJ/mol of atoms) = 18.7
- size of the total moment (μB per formula unit) = 0.00



The following is a DFT calculation (GGA-PBE) of crystalline KZn3 at its relaxed geometry.

a = 4.0153 Å, b = 4.0153 Å, c = 8.0004 Å
α = 90.00°, β = 90.00°, γ = 120.00°
Space group P-6m2 (No. 187)
One atom of each set of equivalent atoms:
K1 0.0000 0.0000 0.0000
Zn1 0.0000 0.0000 0.5000
Zn2 0.6667 0.3333 0.3341

Properties
- total DFT energy (no corrections) (eV per atom) = -0.99
- excess energy over the best structure of this formula in the dataset (kJ/mol of atoms) = 25.8
- size of the total moment (μB per formula unit) = 0.00



The following is a DFT calculation (GGA-PBE) of crystalline In3RhW at its relaxed geometry.

a = 4.975 Å, b = 4.975 Å, c = 4.975 Å
α = 90.00°, β = 90.00°, γ = 90.00°
Space group Pm-3m (No. 221)
One atom of each set of equivalent atoms:
In1 0.000 0.000 0.500
Rh1 0.000 0.000 0.000
W1 0.500 0.500 0.500

Properties
- total DFT energy (no corrections) (eV per atom) = -4.57
- excess energy over the best structure of this formula in the dataset (kJ/mol of atoms) = 0.0
- size of the total moment (μB per formula unit) = 0.09



The following is a DFT calculation (GGA-PBE) of crystalline V13Ga3 at its relaxed geometry.

a = 6.149 Å, b = 8.453 Å, c = 8.451 Å
α = 90.00°, β = 90.00°, γ = 90.00°
Space group Amm2 (No. 38)
One atom of each set of equivalent atoms:
V1 0.000 0.000 0.000
V2 0.000 0.000 0.513
V3 0.000 0.243 0.751
V4 0.242 0.000 0.753
V5 0.246 0.248 0.508
V6 0.500 0.000 0.513
V7 0.500 0.242 0.750
Ga1 0.248 0.000 0.261
Ga2 0.500 0.000 0.996

Properties
- total DFT energy (no corrections) (eV per atom) = -8.07
- excess energy over the best structure of this formula in the dataset (kJ/mol of atoms) = 3.9
- size of the total moment (μB per formula unit) = 0.00



The following is a DFT calculation (GGA-PBE) of crystalline ReCl3F at its relaxed geometry.

a = 4.684 Å, b = 4.684 Å, c = 4.684 Å
α = 90.00°, β = 90.00°, γ = 90.00°
Space group Pm-3m (No. 221)
One atom of each set of equivalent atoms:
Re1 0.000 0.000 0.000
Cl1 0.000 0.500 0.500
F1 0.500 0.500 0.500

Properties
- total DFT energy (no corrections) (eV per atom) = -2.80
- uncorrected formation energy (eV/atom) = 1.17
- excess energy over the best structure of this formula in the dataset (kJ/mol of atoms) = 206.4
- size of the total moment (μB per formula unit) = 5.11



The following is a DFT calculation (GGA-PBE) of crystalline CaP2Pb at its relaxed geometry.

a = 6.791 Å, b = 6.791 Å, c = 10.504 Å
α = 90.00°, β = 90.00°, γ = 90.00°
Space group I-42d (No. 122)
One atom of each set of equivalent atoms:
Ca1 0.000 0.000 0.000
P1 0.222 0.250 0.625
Pb1 0.000 0.000 0.500

Properties
- total DFT energy (no corrections) (eV per atom) = -4.38
- size of the total moment (μB per formula unit) = 0.00



The following is a DFT calculation (GGA-PBE) of crystalline TiNb2SiPd at its relaxed geometry.

a = 4.648 Å, b = 4.648 Å, c = 4.623 Å
α = 90.00°, β = 90.00°, γ = 90.00°
Space group P4/mmm (No. 123)
One atom of each set of equivalent atoms:
Ti1 0.000 0.000 0.000
Nb1 0.000 0.500 0.000
Si1 0.000 0.000 0.500
Pd1 0.500 0.500 0.500

Properties
- total DFT energy (no corrections) (eV per atom) = -6.75
- uncorrected formation energy (eV/atom) = 0.98
- size of the total moment (μB per formula unit) = 0.00



no.,volume (Å³/f.u.),DOS at the Fermi energy (states/eV/atom)
1,62.2,0.63
2,98.0,0.90
3,115.7,0.05
4,78.2,1.08
5,156.9,0.82
6,121.2,0.57
7,111.7,0.54
8,123.2,1.46
9,219.6,1.20
10,102.8,0.49
11,121.1,0.00
12,99.9,1.19